--- 1 ---
SrCaHf (GGA-PBE, relaxed); symmetry = P4/nmm; magnetization = 0.00 μB/f.u.
1.0
-4.750 0.193 0.410
0.394 -0.380 4.740
0.447 9.474 0.722
Sr Ca Hf
2 2 2
Direct
0.000 0.000 0.000
0.500 0.500 0.000
0.000 0.500 0.365
0.500 0.000 0.635
0.000 0.500 0.722
0.500 0.000 0.278

---

--- 2 ---
SrCaHf (GGA-PBE, relaxed); symmetry = P1; magnetization = 0.08 μB/f.u.
1.0
3.506 0.003 -0.003
-0.016 6.357 -0.020
0.015 -2.000 9.691
Sr Ca Hf
2 2 2
Direct
0.047 0.822 0.329
0.045 0.394 0.575
0.545 0.948 0.730
0.542 0.511 0.966
0.044 0.049 0.032
0.546 0.285 0.248

---

2 is the most stable structure; the next one sits 47.6 kJ/mol of atoms above it.

---

--- 1 ---
SrCa2Hf (GGA-PBE, relaxed); symmetry = R-3m; magnetization = 0.57 μB/f.u.
1.0
-1.992 1.306 -2.631
-2.708 -1.900 -1.286
-9.613 5.301 7.517
Sr Ca Hf
1 2 1
Direct
0.500 0.500 0.500
0.081 0.081 0.758
0.919 0.919 0.242
0.000 0.000 0.000

---

--- 2 ---
SrCa2Hf (GGA-PBE, relaxed); symmetry = Fm-3m; magnetization = 0.00 μB/f.u.
1.0
0.000 4.134 4.134
4.134 0.000 4.134
4.134 4.134 0.000
Sr Ca Hf
1 2 1
Direct
0.000 0.000 0.000
0.250 0.250 0.250
0.750 0.750 0.750
0.500 0.500 0.500

---

--- 3 ---
SrCa2Hf (GGA-PBE, relaxed); symmetry = I-42d; magnetization = 1.65 μB/f.u.
1.0
-4.732 1.277 -0.325
0.243 -0.347 -4.894
-5.525 -11.517 -1.923
Sr Ca Hf
2 4 2
Direct
0.500 0.500 0.000
0.250 0.750 0.500
0.643 0.125 0.250
0.107 0.625 0.250
0.375 0.357 0.750
0.875 0.893 0.750
0.000 0.000 0.000
0.750 0.250 0.500

---

2 is the most stable structure; the next one sits 10.4 kJ/mol of atoms above it.

---

--- 1 ---
SrCa3Hf (GGA-PBE, relaxed); symmetry = Pm-3m; magnetization = 0.00 μB/f.u.
1.0
5.671 0.000 0.000
0.000 5.671 0.000
0.000 0.000 5.671
Sr Ca Hf
1 3 1
Direct
0.000 0.000 0.000
0.000 0.500 0.000
0.000 0.000 0.500
0.500 0.000 0.000
0.500 0.500 0.500

---

--- 2 ---
SrCa3Hf (GGA-PBE, relaxed); symmetry = Pm-3m; magnetization = 0.41 μB/f.u.
1.0
5.997 0.000 0.000
0.000 5.997 0.000
0.000 0.000 5.997
Sr Ca Hf
1 3 1
Direct
0.500 0.500 0.500
0.000 0.500 0.000
0.000 0.000 0.500
0.500 0.000 0.000
0.000 0.000 0.000

---

2 is the most stable structure; the next one sits 68.1 kJ/mol of atoms above it.

---

--- 1 ---
Sr2CaHf (GGA-PBE, relaxed); symmetry = Fm-3m; magnetization = 0.00 μB/f.u.
1.0
2.650 3.879 3.707
-2.910 4.925 1.757
-1.889 0.502 5.656
Sr Ca Hf
2 1 1
Direct
0.250 0.250 0.250
0.750 0.750 0.750
0.000 0.000 0.000
0.500 0.500 0.500

---

--- 2 ---
Sr2CaHf (GGA-PBE, relaxed); symmetry = R-3m; magnetization = 0.48 μB/f.u.
1.0
3.624 0.000 0.000
1.812 3.139 0.000
1.812 1.046 13.378
Sr Ca Hf
2 1 1
Direct
0.082 0.082 0.753
0.918 0.918 0.247
0.500 0.500 0.500
0.000 0.000 0.000

---

1 is the most stable structure; the next one sits 10.7 kJ/mol of atoms above it.

---

--- 1 ---
CaHfTe2 (GGA-PBE, relaxed); symmetry = I-42d; magnetization = 0.01 μB/f.u.
1.0
6.854 0.000 0.000
0.000 6.854 0.000
3.427 3.427 6.502
Ca Te Hf
2 4 2
Direct
0.500 0.500 0.000
0.250 0.750 0.500
0.656 0.125 0.250
0.094 0.625 0.250
0.375 0.344 0.750
0.875 0.906 0.750
0.000 0.000 0.000
0.750 0.250 0.500

---

--- 2 ---
CaHfTe2 (GGA-PBE, relaxed); symmetry = R-3m; magnetization = 0.00 μB/f.u.
1.0
6.079 7.558 2.981
7.995 6.243 -0.274
4.964 8.826 -0.645
Ca Te Hf
1 2 1
Direct
0.000 0.000 0.000
0.893 0.893 0.893
0.107 0.107 0.107
0.500 0.500 0.500

---

2 is the most stable structure; the next one sits 14.7 kJ/mol of atoms above it.

---

--- 1 ---
CaHfTe2 (GGA-PBE, relaxed); symmetry = Fm-3m; magnetization = 1.70 μB/f.u.
1.0
-4.308 -2.107 2.122
-4.635 2.388 -0.560
-3.680 -2.109 -3.084
Ca Te Hf
1 2 1
Direct
0.000 0.000 0.000
0.250 0.250 0.250
0.750 0.750 0.750
0.500 0.500 0.500

---

--- 2 ---
CaHfTe2 (GGA-PBE, relaxed); symmetry = R-3m; magnetization = 0.00 μB/f.u.
1.0
7.442 5.491 2.410
7.226 2.716 5.635
9.199 1.629 2.018
Ca Te Hf
1 2 1
Direct
0.500 0.500 0.500
0.902 0.902 0.902
0.098 0.098 0.098
0.000 0.000 0.000

---

1 is the most stable structure; the next one sits 33.6 kJ/mol of atoms above it.

---

--- 1 ---
Ca3HfTe (GGA-PBE, relaxed); symmetry = Pm-3m; magnetization = 2.49 μB/f.u.
1.0
-1.645 -3.921 -3.860
3.872 2.037 -3.720
3.909 -3.668 2.060
Ca Te Hf
3 1 1
Direct
0.000 0.500 0.000
0.000 0.000 0.500
0.500 0.000 0.000
0.500 0.500 0.500
0.000 0.000 0.000

---

--- 2 ---
Ca3HfTe (GGA-PBE, relaxed); symmetry = Pm-3m; magnetization = 4.08 μB/f.u.
1.0
5.827 0.000 0.000
0.000 5.827 0.000
0.000 0.000 5.827
Ca Te Hf
3 1 1
Direct
0.000 0.500 0.000
0.000 0.000 0.500
0.500 0.000 0.000
0.000 0.000 0.000
0.500 0.500 0.500

---

2 is the most stable structure; the next one sits 42.5 kJ/mol of atoms above it.

---

--- 1 ---
CaHf3Te (GGA-PBE, relaxed); symmetry = Pm-3m; magnetization = 0.00 μB/f.u.
1.0
5.119 0.000 0.000
0.000 5.119 0.000
0.000 0.000 5.119
Ca Te Hf
1 1 3
Direct
0.000 0.000 0.000
0.500 0.500 0.500
0.000 0.500 0.000
0.000 0.000 0.500
0.500 0.000 0.000

---

--- 2 ---
CaHf3Te (GGA-PBE, relaxed); symmetry = Pm-3m; magnetization = 0.00 μB/f.u.
1.0
5.314 0.000 0.000
0.000 5.314 0.000
0.000 0.000 5.314
Ca Te Hf
1 1 3
Direct
0.500 0.500 0.500
0.000 0.000 0.000
0.000 0.500 0.000
0.000 0.000 0.500
0.500 0.000 0.000

---

2 is the most stable structure; the next one sits 103.3 kJ/mol of atoms above it.